# 1
A plane-wave DFT calculation with PBE-GGA was carried out for an optimized crystal structure of ZnGa2.

Structure (POSCAR):
```
ZnGa2
1.0
0.000 3.835 3.835
3.835 0.000 3.835
3.835 3.835 0.000
Zn Ga
2 4
direct
0.125 0.125 0.125 Zn
0.875 0.875 0.875 Zn
0.000 0.500 0.500 Ga
0.500 0.000 0.500 Ga
0.500 0.500 0.000 Ga
0.500 0.500 0.500 Ga
```

Values from the calculation:
* calculated volume: 112.79 Å³/cell
* VASP energy: -6.74 eV per formula unit
* SG: No. 227

***

# 2
A plane-wave DFT calculation with PBE-GGA was carried out for an optimized crystal structure of DyTm2Mg3Al2Cd.

Structure (POSCAR):
```
DyTm2Mg3Al2Cd
1.0
4.514 0.000 0.000
0.000 6.404 3.677
0.000 -6.404 3.677
Dy Tm Mg Al Cd
1 2 3 2 1
direct
0.000 0.000 0.000 Dy
0.000 0.138 0.569 Tm
0.000 0.569 0.138 Tm
0.500 0.322 0.322 Mg
0.500 0.568 0.814 Mg
0.500 0.814 0.568 Mg
0.500 0.237 0.902 Al
0.500 0.902 0.237 Al
0.000 0.566 0.566 Cd
```

Values from the calculation:
* calculated volume: 212.58 Å³/cell
* VASP energy: -29.26 eV per formula unit
* SG: No. 38

***

# 3
A plane-wave DFT calculation with PBE-GGA was carried out for an optimized crystal structure of Nd2LuPb7.

Structure (POSCAR):
```
Nd2LuPb7
1.0
2.290 -13.662 0.000
2.290 13.662 0.000
0.000 0.000 4.667
Nd Lu Pb
2 1 7
direct
0.188 0.812 0.000 Nd
0.812 0.188 0.000 Nd
0.500 0.500 0.500 Lu
0.000 0.000 0.000 Pb
0.094 0.906 0.500 Pb
0.290 0.710 0.500 Pb
0.407 0.593 0.000 Pb
0.593 0.407 0.000 Pb
0.710 0.290 0.500 Pb
0.906 0.094 0.500 Pb
```

Values from the calculation:
* calculated volume: 291.93 Å³/cell
* VASP energy: -43.50 eV per formula unit
* SG: No. 65

***

# 4
A plane-wave DFT calculation with PBE-GGA was carried out for an optimized crystal structure of DyPaIr.

Structure (POSCAR):
```
DyPaIr
1.0
0.000 3.387 3.387
3.387 0.000 3.387
3.387 3.387 0.000
Dy Pa Ir
1 1 1
direct
0.000 0.000 0.000 Dy
0.500 0.500 0.500 Pa
0.750 0.750 0.750 Ir
```

Values from the calculation:
* ΔH_f (0 K): -351 meV/atom
* calculated volume: 77.74 Å³/cell
* VASP energy: -24.01 eV per formula unit
* SG: No. 216
* energy above the lowest structure with this stoichiometry: 0 meV per atom

***

# 5
A plane-wave DFT calculation with PBE-GGA was carried out for an optimized crystal structure of ScFe2.

Structure (POSCAR):
```
ScFe2
1.0
4.901 0.000 0.000
-2.451 4.245 0.000
0.000 0.000 16.027
Sc Fe
8 16
direct
0.000 0.000 0.094 Sc
0.000 0.000 0.406 Sc
0.000 0.000 0.594 Sc
0.000 0.000 0.906 Sc
0.333 0.667 0.156 Sc
0.333 0.667 0.344 Sc
0.667 0.333 0.656 Sc
0.667 0.333 0.844 Sc
0.000 0.500 0.000 Fe
0.000 0.500 0.500 Fe
0.165 0.330 0.750 Fe
0.165 0.835 0.750 Fe
0.330 0.165 0.250 Fe
0.333 0.667 0.625 Fe
0.333 0.667 0.875 Fe
0.500 0.000 0.000 Fe
0.500 0.000 0.500 Fe
0.500 0.500 0.000 Fe
0.500 0.500 0.500 Fe
0.667 0.333 0.125 Fe
0.667 0.333 0.375 Fe
0.670 0.835 0.750 Fe
0.835 0.165 0.250 Fe
0.835 0.670 0.250 Fe
```

Values from the calculation:
* ΔH_f (0 K): -268 meV/atom
* calculated volume: 333.44 Å³/cell
* VASP energy: -23.75 eV per formula unit
* SG: No. 194

***

# 6
A plane-wave DFT calculation with PBE-GGA was carried out for an optimized crystal structure of InB4Au.

Structure (POSCAR):
```
InB4Au
1.0
-1.561 2.632 4.140
1.561 -2.632 4.140
1.561 2.632 -4.140
In B Au
1 4 1
direct
0.000 0.000 0.000 In
0.071 0.744 0.327 B
0.416 0.744 0.673 B
0.584 0.256 0.327 B
0.929 0.256 0.673 B
0.500 0.500 0.000 Au
```

Values from the calculation:
* calculated volume: 68.05 Å³/cell
* VASP energy: -29.13 eV per formula unit
* SG: No. 71
* energy above the lowest structure with this stoichiometry: 0 meV per atom